No. 1
First-principles (meta-GGA SCAN) data for a PBEsol-optimized structure of PRu2Cl, as listed in Alexandria via LeMat-Bulk.

Summary:
Energy above the lowest structure with this stoichiometry (meV per atom): 116.8
Space-group type: Pmmm, No. 47
Magnetic moment (μB per atom): 0.000
Volume (Å³/cell): 56.77

abc: 2.7932 3.8547 5.2727
angles: 90.00 90.00 90.00
With the nearest neighbours (Å) after each atom.
Sites, in units of the cell vectors:
Cl 0.5000 0.5000 0.0000  4 Ru 2.38
P 0.0000 0.5000 0.5000  4 Ru 2.38
Ru 0.0000 0.0000 0.0000  4 Cl 2.38
Ru 0.5000 0.0000 0.5000  4 P 2.38

No. 2
First-principles (meta-GGA SCAN) data for a PBEsol-optimized structure of PRu2Cl, as listed in Alexandria via LeMat-Bulk.

Summary:
Energy above the lowest structure with this stoichiometry (meV per atom): 0.0
Space-group type: Cmm2, No. 35
Magnetic moment (μB per atom): 0.000
Volume (Å³/cell): 62.41

abc: 2.7595 2.8207 9.1929
angles: 90.00 90.00 119.29
With the nearest neighbours (Å) after each atom.
Sites, in units of the cell vectors:
Cl 0.0000 0.0000 0.4545  2 Ru 2.35
P 0.5000 0.0000 0.7985  2 Ru 2.30
Ru 0.0000 0.0000 0.9988  2 P 2.30
Ru 0.5000 0.0000 0.2482  2 Cl 2.35

No. 3
First-principles (meta-GGA SCAN) data for a PBEsol-optimized structure of P2RuCl, as listed in Alexandria via LeMat-Bulk.

Summary:
Space-group type: Pmmm, No. 47
Raw total energy (eV/atom): -15.0886
Magnetic moment (μB per atom): 0.000
Volume (Å³/cell): 55.39

abc: 2.9555 4.1455 4.5210
angles: 90.00 90.00 90.00
With the nearest neighbours (Å) after each atom.
Sites, in units of the cell vectors:
Cl 0.0000 0.5000 0.5000  4 Ru 2.55, 4 P 2.70
P 0.0000 0.0000 0.0000  4 P 2.55, 4 Ru 2.70
P 0.5000 0.5000 0.0000  4 P 2.55, 4 Cl 2.70
Ru 0.5000 0.0000 0.5000  4 Cl 2.55, 4 P 2.70

No. 4
First-principles (meta-GGA SCAN) data for a PBEsol-optimized structure of PRuCl2, as listed in Alexandria via LeMat-Bulk.

Summary:
Energy above the lowest structure with this stoichiometry (meV per atom): 443.9
Space-group type: Imm2, No. 44
Magnetic moment (μB per atom): 0.000
Volume (Å³/cell): 70.95

abc: 2.9838 4.4210 6.0037
angles: 111.60 104.39 90.00
With the nearest neighbours (Å) after each atom.
Sites, in units of the cell vectors:
Cl 0.0574 0.0574 0.1147  2 Ru 2.66
Cl 0.2632 0.7632 0.5265  4 Ru 2.67, 2 P 2.77, 2 Cl 2.98
P 0.4177 0.4177 0.8353  2 Ru 2.24
Ru 0.7617 0.2617 0.5235  2 P 2.24

No. 5
First-principles (meta-GGA SCAN) data for a PBEsol-optimized structure of PRuCl2, as listed in Alexandria via LeMat-Bulk.

Summary:
Energy above the lowest structure with this stoichiometry (meV per atom): 0.0
Space-group type: Pm, No. 6
Magnetic moment (μB per atom): 0.000
Volume (Å³/cell): 71.69

abc: 3.4068 4.6370 5.0026
angles: 114.88 90.00 90.00
With the nearest neighbours (Å) after each atom.
Sites, in units of the cell vectors:
Cl 0.0000 0.0730 0.1106  1 P 2.37
Cl 0.5000 0.7366 0.4642  2 Ru 2.35-2.37
P 0.0000 0.4109 0.8629  2 Ru 2.18, 1 Cl 2.37
Ru 0.5000 0.2795 0.5622  2 P 2.18, 2 Cl 2.35-2.37

No. 6
First-principles (meta-GGA SCAN) data for a PBEsol-optimized structure of TlP2RuCl, as listed in Alexandria via LeMat-Bulk.

Summary:
Energy above the lowest structure with this stoichiometry (meV per atom): 0.0
Space-group type: P4/mmm, No. 123
Magnetic moment (μB per atom): 0.000
Volume (Å³/cell): 106.10

abc: 4.4858 4.4858 5.2729
angles: 90.00 90.00 90.00
With the nearest neighbours (Å) after each atom.
Sites, in units of the cell vectors:
Ru 0.0000 0.0000 0.0000  4 P 2.24
Tl 0.5000 0.5000 0.5000  4 Cl 3.17, 8 P 3.46
P 0.0000 0.5000 0.0000  2 Ru 2.24
P 0.5000 0.0000 0.0000  2 Ru 2.24
Cl 0.0000 0.0000 0.5000  2 Ru 2.64